Entry 1:
Material: CsP2F
Method: DFT, GGA-PBEsol
State: optimized geometry

a = 13.4996 Å, b = 13.4996 Å, c = 13.4996 Å
α = 162.37°, β = 162.37°, γ = 25.03°
Closest atoms and distances in Å follow each position.
Element x y z (fractional)
Cs1 0.3750 0.6250 0.7500  4 F 2.93
Cs2 0.6250 0.3750 0.2500  4 F 2.93
P1 0.0000 0.0000 0.0000  2 P 2.07
P2 0.0000 0.0000 0.5000  2 P 2.07
P3 0.0000 0.5000 0.0000  2 P 2.07
P4 0.5000 0.0000 0.5000  2 P 2.07
F1 0.1250 0.8750 0.2500  4 Cs 2.93
F2 0.8750 0.1250 0.7500  4 Cs 2.93

Computed properties:
**Formation energy from raw total energies**: -621 meV/atom
**Fermi-level density of states**: 2.3 states/eV/cell

Entry 2:
Material: CaMgPd
Method: DFT, GGA-PBEsol
State: optimized geometry

a = 7.1962 Å, b = 4.3365 Å, c = 8.3957 Å
α = 90.00°, β = 90.00°, γ = 90.00°
Closest atoms and distances in Å follow each position.
Element x y z (fractional)
Ca1 0.0299 0.2500 0.1762  5 Pd 3.06-3.09, 5 Mg 3.33-3.35
Ca2 0.4701 0.7500 0.6762  5 Pd 3.06-3.09, 5 Mg 3.33-3.35
Ca3 0.5299 0.2500 0.3238  5 Pd 3.06-3.09, 5 Mg 3.33-3.35
Ca4 0.9701 0.7500 0.8238  5 Pd 3.06-3.09, 5 Mg 3.33-3.35
Mg1 0.1415 0.2500 0.5616  4 Pd 2.73-2.79
Mg2 0.3585 0.7500 0.0616  4 Pd 2.73-2.79
Mg3 0.6415 0.2500 0.9384  4 Pd 2.73-2.79
Mg4 0.8585 0.7500 0.4384  4 Pd 2.73-2.79
Pd1 0.2308 0.7500 0.3748  4 Mg 2.73-2.79
Pd2 0.2692 0.2500 0.8748  4 Mg 2.73-2.79
Pd3 0.7308 0.7500 0.1252  4 Mg 2.73-2.79
Pd4 0.7692 0.2500 0.6252  4 Mg 2.73-2.79

Computed properties:
**DFT formation energy**: -578 meV per atom
**Fermi-level density of states**: 5.2 states/eV/cell